A plane-wave DFT calculation with GGA-PBE was carried out for a relaxed NaSm2GaO5 crystal.

Output
Formation energy without anion corrections (eV/atom): -2.53
Raw total energy (eV per atom): -6.813
SG: No. 127
Total magnetic moment (μB/atom): 0.000

Cell: 5.763 6.641 6.641 Å, 90.00 90.00 90.00°
Fractional positions:
Sm: 0.500 0.678 0.178
Sm: 0.500 0.822 0.678
Na: 0.000 0.000 0.000
Na: 0.000 0.500 0.500
Sm: 0.500 0.178 0.322
O: 0.760 0.637 0.863
O: 0.240 0.137 0.637
O: 0.500 0.500 0.500
O: 0.240 0.863 0.363
O: 0.240 0.637 0.863
O: 0.240 0.363 0.137
O: 0.760 0.863 0.363
O: 0.500 0.000 0.000
O: 0.760 0.363 0.137
Sm: 0.500 0.322 0.822
Ga: 0.000 0.000 0.500
Ga: 0.000 0.500 0.000
O: 0.760 0.137 0.637

A plane-wave DFT calculation with GGA-PBE was carried out for a relaxed NaGaSnO4 crystal.

Output
Formation energy without anion corrections (eV/atom): -1.66
Raw total energy (eV per atom): -5.686
SG: No. 74
Total magnetic moment (μB/atom): 0.000

Cell: 5.979 6.203 6.203 Å, 63.52 61.19 61.19°
Fractional positions:
O: 0.765 0.245 0.225
Sn: 0.000 0.000 0.000
Ga: 0.649 0.601 0.101
O: 0.765 0.725 0.745
O: 0.235 0.755 0.775
O: 0.230 0.260 0.760
O: 0.770 0.740 0.240
O: 0.235 0.275 0.255
O: 0.251 0.740 0.240
Ga: 0.351 0.399 0.899
Na: 0.500 0.000 0.500
Sn: 0.000 0.500 0.500
Na: 0.000 0.000 0.500
O: 0.749 0.260 0.760

A plane-wave DFT calculation with GGA-PBE was carried out for a relaxed NaSrGaO3 crystal.

Output
Formation energy without anion corrections (eV/atom): -1.93
Raw total energy (eV per atom): -5.409
SG: No. 12
Total magnetic moment (μB/atom): 0.000

Cell: 3.996 6.847 6.947 Å, 106.06 90.00 106.96°
Fractional positions:
Ga: 0.001 0.003 0.739
Ga: 0.999 0.997 0.261
O: 0.498 0.995 0.247
Na: 0.347 0.694 0.430
O: 0.147 0.293 0.322
O: 0.502 0.005 0.753
O: 0.150 0.300 0.838
O: 0.853 0.707 0.678
Sr: 0.656 0.312 0.091
Na: 0.653 0.306 0.570
O: 0.850 0.700 0.162
Sr: 0.344 0.688 0.909

A plane-wave DFT calculation with GGA-PBE was carried out for a relaxed NaSr3Ga2O6 crystal.

Output
Formation energy without anion corrections (eV/atom): -1.97
Raw total energy (eV per atom): -5.483
SG: No. 164
Total magnetic moment (μB/atom): 0.000

Cell: 5.990 5.990 6.542 Å, 90.00 90.00 120.00°
Fractional positions:
O: 0.829 0.658 0.719
O: 0.829 0.171 0.719
O: 0.658 0.829 0.281
O: 0.171 0.342 0.281
Na: 0.000 0.000 0.500
Sr: 0.667 0.333 0.368
O: 0.342 0.171 0.719
Ga: 0.333 0.667 0.176
Ga: 0.667 0.333 0.824
O: 0.171 0.829 0.281
Sr: 0.000 0.000 0.000
Sr: 0.333 0.667 0.632

A plane-wave DFT calculation with GGA-PBE was carried out for a relaxed NaSr2GaO crystal.

Output
Formation energy without anion corrections (eV/atom): -1.07
Raw total energy (eV per atom): -3.604
SG: No. 123
Total magnetic moment (μB/atom): 0.222

Cell: 5.117 5.117 4.826 Å, 90.00 90.00 90.00°
Site moments in Bohr magnetons follow the coordinates.
Fractional positions:
Sr: 0.000 0.500 0.000  0.05
O: 0.000 0.000 0.000  0.03
Na: 0.000 0.000 0.500  0.01
Sr: 0.500 0.000 0.000  0.05
Ga: 0.500 0.500 0.500  0.21

A plane-wave DFT calculation with GGA-PBE was carried out for a relaxed NaTaGaO5 crystal.

Output
Formation energy without anion corrections (eV/atom): -2.08
Raw total energy (eV per atom): -7.205
SG: No. 15
Total magnetic moment (μB/atom): 0.130

Cell: 5.821 5.821 7.724 Å, 106.43 106.43 101.18°
Site moments in Bohr magnetons follow the coordinates.
Fractional positions:
Ga: 0.674 0.326 0.250  0.00
O: 0.733 0.159 0.421  0.13
O: 0.668 0.746 0.883  0.23
O: 0.746 0.668 0.383  0.23
Ga: 0.326 0.674 0.750  0.00
O: 0.947 0.053 0.750  0.20
Ta: 0.000 0.000 0.000  -0.06
O: 0.254 0.332 0.617  0.23
Na: 0.683 0.317 0.750  0.00
Ta: 0.000 0.000 0.500  -0.06
Na: 0.317 0.683 0.250  0.00
O: 0.332 0.254 0.117  0.23
O: 0.267 0.841 0.579  0.13
O: 0.841 0.267 0.079  0.13
O: 0.053 0.947 0.250  0.20
O: 0.159 0.733 0.921  0.13

A plane-wave DFT calculation with GGA-PBE was carried out for a relaxed NaTaGaO2 crystal.

Output
Formation energy without anion corrections (eV/atom): -1.05
Raw total energy (eV per atom): -6.271
SG: No. 123
Total magnetic moment (μB/atom): 0.000

Cell: 3.940 6.520 3.940 Å, 90.00 90.00 90.00°
Fractional positions:
Na: 0.000 0.500 0.000
O: 0.000 0.000 0.500
O: 0.500 0.000 0.000
Ta: 0.000 0.000 0.000
Ga: 0.500 0.500 0.500

A plane-wave DFT calculation with GGA-PBE was carried out for a relaxed Na2TbGaO4 crystal.

Output
Formation energy without anion corrections (eV/atom): -2.20
Raw total energy (eV per atom): -5.964
SG: No. 10
Total magnetic moment (μB/atom): 0.000

Cell: 3.280 5.563 5.858 Å, 108.82 90.00 90.00°
Fractional positions:
O: 0.500 0.216 0.207
Ga: 0.000 0.000 0.000
O: 0.000 0.762 0.208
Tb: 0.500 0.500 0.000
O: 0.500 0.784 0.793
Na: 0.500 0.000 0.500
Na: 0.000 0.500 0.500
O: 0.000 0.238 0.792

A plane-wave DFT calculation with GGA-PBE was carried out for a relaxed Na3Tb2GaO6 crystal.

Output
Formation energy without anion corrections (eV/atom): -2.39
Raw total energy (eV per atom): -6.224
SG: No. 12
Total magnetic moment (μB/atom): 0.000

Cell: 5.748 5.748 5.870 Å, 99.13 99.13 120.14°
Fractional positions:
Tb: 0.333 0.667 0.000
Tb: 0.667 0.333 0.000
Na: 0.845 0.155 0.500
O: 0.623 0.932 0.791
Na: 0.500 0.500 0.500
O: 0.759 0.759 0.204
O: 0.068 0.377 0.209
Na: 0.155 0.845 0.500
O: 0.377 0.068 0.209
O: 0.932 0.623 0.791
Ga: 0.000 0.000 0.000
O: 0.241 0.241 0.796

A plane-wave DFT calculation with GGA-PBE was carried out for a relaxed Na4Tb3GaO8 crystal.

Output
Formation energy without anion corrections (eV/atom): -2.46
Raw total energy (eV per atom): -6.329
SG: No. 166
Total magnetic moment (μB/atom): 0.000

Cell: 6.704 6.788 6.705 Å, 119.61 120.00 90.00°
Fractional positions:
O: 0.262 0.287 0.525
Tb: 0.500 0.500 0.000
O: 0.226 0.709 0.983
Na: 0.500 0.000 0.000
O: 0.227 0.709 0.453
Na: 0.500 0.000 0.500
O: 0.773 0.291 0.547
O: 0.738 0.713 0.475
O: 0.243 0.291 0.017
O: 0.774 0.291 0.017
Na: 0.000 0.000 0.500
Na: 0.000 0.000 0.000
Ga: 0.000 0.500 0.000
O: 0.757 0.709 0.983
Tb: 0.000 0.500 0.500
Tb: 0.500 0.500 0.500

A plane-wave DFT calculation with GGA-PBE was carried out for a relaxed NaGa2TcO crystal.

Output
Formation energy without anion corrections (eV/atom): 0.87
Raw total energy (eV per atom): -3.665
SG: No. 123
Total magnetic moment (μB/atom): 0.608

Cell: 5.000 5.000 3.798 Å, 90.00 90.00 90.00°
Site moments in Bohr magnetons follow the coordinates.
Fractional positions:
Tc: 0.500 0.500 0.500  2.78
Ga: 0.000 0.500 0.000  -0.05
O: 0.000 0.000 0.500  0.17
Ga: 0.500 0.000 0.000  -0.05
Na: 0.000 0.000 0.000  -0.01

A plane-wave DFT calculation with GGA-PBE was carried out for a relaxed NaGa2TeO8 crystal.

Output
Formation energy without anion corrections (eV/atom): -0.78
Raw total energy (eV per atom): -4.965
SG: No. 119
Total magnetic moment (μB/atom): 0.254

Cell: 5.780 5.780 5.780 Å, 109.43 109.43 109.56°
Site moments in Bohr magnetons follow the coordinates.
Fractional positions:
O: 0.696 0.030 0.666  0.51
Ga: 0.750 0.250 0.500  0.00
Na: 0.000 0.000 0.000  0.01
O: 0.970 0.304 0.334  0.51
O: 0.310 0.517 0.207  0.15
O: 0.310 0.103 0.793  0.15
O: 0.970 0.637 0.666  0.51
Te: 0.250 0.750 0.500  -0.04
O: 0.483 0.690 0.793  0.15
O: 0.363 0.030 0.334  0.51
O: 0.897 0.690 0.207  0.15
Ga: 0.500 0.500 0.000  -0.01